Record 1
Dy2ErS: relaxed, GGA-PBE.

Results
symmetry: R-3m, No. 166
total energy: -5.183 eV per atom

Lattice parameters (Å, degrees): 10.194 10.194 10.194 20.61 20.61 20.61
Element x y z (fractional)
Dy  0.112  0.112  0.112
Dy  0.888  0.888  0.888
Er  0.000  0.000  0.000
S  0.500  0.500  0.500



Record 2
Al2TcNi: relaxed, GGA-PBE.

Results
symmetry: Pmm2, No. 25
total energy: -6.177 eV per atom

Lattice parameters (Å, degrees): 2.704 3.828 5.270 90.00 90.00 90.00
Element x y z (fractional)
Al  0.000  0.000  0.000
Al  0.500  0.500  0.293
Tc  0.500  0.500  0.783
Ni  0.000  0.000  0.490



Record 3
Gd2YPt: relaxed, GGA-PBE.

Results
symmetry: R-3m, No. 166
energy relative to the lowest polymorph listed for this composition: 75.9 meV per atom

Lattice parameters (Å, degrees): 9.761 9.761 9.761 22.64 22.64 22.64
Element x y z (fractional)
Gd  0.230  0.230  0.230
Gd  0.770  0.770  0.770
Y  0.000  0.000  0.000
Pt  0.500  0.500  0.500



Record 4
Rb2SrCl4: relaxed, GGA-PBE.

Results
symmetry: C2/m, No. 12
energy relative to the lowest polymorph listed for this composition: 26.9 meV per atom

Lattice parameters (Å, degrees): 7.666 7.666 8.958 118.79 118.79 32.93
Element x y z (fractional)
Rb  0.146  0.146  0.183
Rb  0.854  0.854  0.817
Sr  0.500  0.500  0.500
Cl  0.153  0.153  0.576
Cl  0.454  0.454  0.150
Cl  0.546  0.546  0.850
Cl  0.847  0.847  0.424



Record 5
Tb2LuOs: relaxed, GGA-PBE.

Results
symmetry: P4/mmm, No. 123
energy relative to the lowest polymorph listed for this composition: 0.0 meV per atom

Lattice parameters (Å, degrees): 3.387 3.387 9.319 90.00 90.00 90.00
Element x y z (fractional)
Tb  0.000  0.000  0.181
Tb  0.000  0.000  0.819
Lu  0.500  0.500  0.500
Os  0.500  0.500  0.000



Record 6
Rb3Ce3BiS8: relaxed, GGA-PBE.

Results
symmetry: R-3m, No. 166
total energy: -5.385 eV per atom

Lattice parameters (Å, degrees): 9.130 9.130 9.130 54.53 54.53 54.53
Element x y z (fractional)
Rb  0.000  0.500  0.500
Rb  0.500  0.000  0.500
Rb  0.500  0.500  0.000
Ce  0.000  0.000  0.500
Ce  0.000  0.500  0.000
Ce  0.500  0.000  0.000
Bi  0.500  0.500  0.500
S  0.226  0.732  0.732
S  0.231  0.231  0.231
S  0.268  0.268  0.774
S  0.268  0.774  0.268
S  0.732  0.226  0.732
S  0.732  0.732  0.226
S  0.769  0.769  0.769
S  0.774  0.268  0.268



Record 7
TcSeI2N: relaxed, GGA-PBE.

Results
symmetry: P4/mmm, No. 123
energy relative to the lowest polymorph listed for this composition: 850.0 meV per atom

Lattice parameters (Å, degrees): 6.027 6.027 3.693 90.00 90.00 90.00
Element x y z (fractional)
Tc  0.000  0.000  0.000
Se  0.500  0.500  0.500
I  0.000  0.500  0.500
I  0.500  0.000  0.500
N  0.500  0.500  0.000



Record 8
RbHf3Mn: relaxed, GGA-PBE.

Results
symmetry: Pm-3m, No. 221
energy relative to the lowest polymorph listed for this composition: 2032.6 meV per atom

Lattice parameters (Å, degrees): 4.919 4.919 4.919 90.00 90.00 90.00
Element x y z (fractional)
Rb  0.000  0.000  0.000
Hf  0.000  0.000  0.500
Hf  0.000  0.500  0.000
Hf  0.500  0.000  0.000
Mn  0.500  0.500  0.500



Record 9
AgRu3: relaxed, GGA-PBE.

Results
symmetry: P4/mmm, No. 123
total energy: -6.961 eV per atom

Lattice parameters (Å, degrees): 4.673 4.673 2.771 90.00 90.00 90.00
Element x y z (fractional)
Ag  0.000  0.000  0.000
Ru  0.000  0.500  0.500
Ru  0.500  0.000  0.500
Ru  0.500  0.500  0.000



Record 10
Ni2IrBr: relaxed, GGA-PBE.

Results
symmetry: Cmm2, No. 35
energy relative to the lowest polymorph listed for this composition: 334.0 meV per atom

Lattice parameters (Å, degrees): 2.740 2.740 9.578 90.00 90.00 118.46
Element x y z (fractional)
Ni  0.000  0.000  0.000
Ni  0.500  0.500  0.202
Ir  0.000  0.000  0.418
Br  0.500  0.500  0.775



Record 11
LiWBr: relaxed, GGA-PBE.

Results
symmetry: Fmm2, No. 42
energy relative to the lowest polymorph listed for this composition: 135.0 meV per atom

Lattice parameters (Å, degrees): 7.121 6.841 2.996 82.90 72.42 24.68
Element x y z (fractional)
Li  0.000  0.000  0.000
W  0.673  0.673  0.327
Br  0.335  0.335  0.665



Record 12
PmSbS4: relaxed, GGA-PBE.

Results
symmetry: C2/c, No. 15
total energy: -5.016 eV per atom

Lattice parameters (Å, degrees): 7.936 7.936 6.275 108.01 108.01 116.50
Element x y z (fractional)
Pm  0.135  0.865  0.750
Pm  0.865  0.135  0.250
Sb  0.409  0.591  0.250
Sb  0.591  0.409  0.750
S  0.111  0.552  0.327
S  0.223  0.293  0.762
S  0.293  0.223  0.262
S  0.448  0.889  0.173
S  0.552  0.111  0.827
S  0.707  0.777  0.738
S  0.777  0.707  0.238
S  0.889  0.448  0.673



Record 13
NiMoPd: relaxed, GGA-PBE.

Results
symmetry: Cm, No. 8
energy relative to the lowest polymorph listed for this composition: 79.7 meV per atom

Lattice parameters (Å, degrees): 7.140 7.140 4.725 109.21 109.21 21.81
Element x y z (fractional)
Ni  0.000  0.000  0.000
Ni  0.171  0.171  0.839
Mo  0.341  0.341  0.685
Mo  0.511  0.511  0.535
Pd  0.669  0.669  0.334
Pd  0.843  0.843  0.180